Below is a geometry-optimized CeHoNiAg structure, with properties calculated at the PBE level.

Computed properties:
The density is 8.749 Mg/m³. The calculation puts the energy relative to the elements at -0.76 eV per formula unit. The total magnetization comes out at 0.704 μB/cell.

Lattice parameters (Å, degrees): 5.021 5.021 5.021 60.00 60.00 60.00
Element x y z (fractional)
Ce  0.000  0.000  0.000
Ho  0.500  0.500  0.500
Ni  0.750  0.750  0.750
Ag  0.250  0.250  0.250